[1]
VASP calculation (GGA-PBE) on a geometry-optimized Pm2DyHo structure.

Output
Formation energy from the elements: 0.018 eV per atom
E_tot: -18.6 eV for the cell shown

Cell lengths 3.594, 3.594, 10.138 Å; angles 90.00, 90.00, 90.00 degrees
Element x y z (fractional)
Pm (0.000, 0.000, 0.249)
Pm (0.000, 0.000, 0.751)
Dy (0.500, 0.500, 0.500)
Ho (0.500, 0.500, 0.000)



[2]
VASP calculation (GGA-PBE) on a geometry-optimized Pm7DyHo4 structure.

Output
Formation energy from the elements: 0.219 eV per atom
E_tot: -53.5 eV for the cell shown

Cell lengths 8.593, 8.593, 9.372 Å; angles 114.51, 114.51, 40.64 degrees
Element x y z (fractional)
Pm (0.000, 0.000, 0.000)
Pm (0.288, 0.288, 0.118)
Pm (0.290, 0.290, 0.766)
Pm (0.416, 0.416, 0.555)
Pm (0.584, 0.584, 0.445)
Pm (0.710, 0.710, 0.234)
Pm (0.712, 0.712, 0.882)
Dy (0.500, 0.500, 0.000)
Ho (0.072, 0.072, 0.698)
Ho (0.172, 0.172, 0.386)
Ho (0.828, 0.828, 0.614)
Ho (0.928, 0.928, 0.302)



[3]
VASP calculation (GGA-PBE) on a geometry-optimized PmDy5Ho7 structure.

Output
Formation energy from the elements: 0.253 eV per atom
E_tot: -56.5 eV for the cell shown

Cell lengths 8.656, 8.656, 8.656 Å; angles 134.75, 100.47, 96.56 degrees
Element x y z (fractional)
Pm (0.000, 0.000, 0.000)
Dy (0.029, 0.034, 0.462)
Dy (0.029, 0.567, 0.996)
Dy (0.572, 0.034, 0.004)
Dy (0.572, 0.567, 0.538)
Dy (0.799, 0.299, 0.500)
Ho (0.221, 0.551, 0.670)
Ho (0.301, 0.801, 0.500)
Ho (0.304, 0.304, 0.000)
Ho (0.381, 0.050, 0.331)
Ho (0.609, 0.609, 0.000)
Ho (0.720, 0.050, 0.669)
Ho (0.881, 0.551, 0.330)



[4]
VASP calculation (GGA-PBE) on a geometry-optimized Pm5DyHo2 structure.

Output
Formation energy from the elements: 0.016 eV per atom
E_tot: -74.8 eV for the cell shown

Cell lengths 7.209, 14.419, 5.095 Å; angles 90.00, 90.00, 90.00 degrees
Element x y z (fractional)
Pm (0.000, 0.000, 0.000)
Pm (0.001, 0.251, 0.000)
Pm (0.249, 0.624, 0.500)
Pm (0.251, 0.124, 0.500)
Pm (0.499, 0.751, 0.000)
Pm (0.500, 0.500, 0.000)
Pm (0.501, 0.249, 0.000)
Pm (0.749, 0.876, 0.500)
Pm (0.751, 0.376, 0.500)
Pm (0.999, 0.749, 0.000)
Dy (0.000, 0.500, 0.000)
Dy (0.500, 0.000, 0.000)
Ho (0.250, 0.376, 0.500)
Ho (0.250, 0.876, 0.500)
Ho (0.750, 0.124, 0.500)
Ho (0.750, 0.624, 0.500)



[5]
VASP calculation (GGA-PBE) on a geometry-optimized Pm2Dy12Ho5 structure.

Output
Formation energy from the elements: 0.018 eV per atom
E_tot: -87.3 eV for the cell shown

Cell lengths 6.144, 9.386, 11.211 Å; angles 90.07, 100.52, 109.06 degrees
Element x y z (fractional)
Pm (0.210, 0.474, 0.420)
Pm (0.790, 0.526, 0.580)
Dy (0.053, 0.368, 0.104)
Dy (0.106, 0.738, 0.210)
Dy (0.158, 0.104, 0.315)
Dy (0.314, 0.209, 0.632)
Dy (0.369, 0.579, 0.739)
Dy (0.421, 0.947, 0.843)
Dy (0.579, 0.053, 0.157)
Dy (0.631, 0.421, 0.261)
Dy (0.686, 0.791, 0.368)
Dy (0.842, 0.896, 0.685)
Dy (0.894, 0.262, 0.790)
Dy (0.947, 0.632, 0.896)
Ho (0.000, 0.000, 0.000)
Ho (0.265, 0.844, 0.527)
Ho (0.474, 0.315, 0.947)
Ho (0.526, 0.685, 0.053)
Ho (0.735, 0.156, 0.473)



[6]
VASP calculation (GGA-PBE) on a geometry-optimized Pm15DyHo4 structure.

Output
Formation energy from the elements: 0.013 eV per atom
E_tot: -93.9 eV for the cell shown

Cell lengths 5.123, 5.123, 25.516 Å; angles 90.00, 90.00, 90.00 degrees
Element x y z (fractional)
Pm (0.000, 0.000, 0.000)
Pm (0.000, 0.000, 0.200)
Pm (0.000, 0.000, 0.400)
Pm (0.000, 0.000, 0.600)
Pm (0.000, 0.000, 0.800)
Pm (0.000, 0.500, 0.100)
Pm (0.000, 0.500, 0.300)
Pm (0.000, 0.500, 0.500)
Pm (0.000, 0.500, 0.700)
Pm (0.000, 0.500, 0.900)
Pm (0.500, 0.000, 0.100)
Pm (0.500, 0.000, 0.300)
Pm (0.500, 0.000, 0.500)
Pm (0.500, 0.000, 0.700)
Pm (0.500, 0.000, 0.900)
Dy (0.500, 0.500, 0.000)
Ho (0.500, 0.500, 0.200)
Ho (0.500, 0.500, 0.400)
Ho (0.500, 0.500, 0.600)
Ho (0.500, 0.500, 0.800)



[7]
VASP calculation (GGA-PBE) on a geometry-optimized Pm2Dy15Ho2 structure.

Output
Formation energy from the elements: 0.297 eV per atom
E_tot: -82.0 eV for the cell shown

Cell lengths 8.717, 8.717, 8.717 Å; angles 79.04, 79.04, 79.04 degrees
Element x y z (fractional)
Pm (0.094, 0.094, 0.094)
Pm (0.906, 0.906, 0.906)
Dy (0.000, 0.000, 0.500)
Dy (0.000, 0.302, 0.698)
Dy (0.000, 0.500, 0.000)
Dy (0.000, 0.698, 0.302)
Dy (0.151, 0.626, 0.626)
Dy (0.302, 0.000, 0.698)
Dy (0.302, 0.698, 0.000)
Dy (0.374, 0.374, 0.849)
Dy (0.374, 0.849, 0.374)
Dy (0.500, 0.000, 0.000)
Dy (0.626, 0.151, 0.626)
Dy (0.626, 0.626, 0.151)
Dy (0.698, 0.000, 0.302)
Dy (0.698, 0.302, 0.000)
Dy (0.849, 0.374, 0.374)
Ho (0.322, 0.322, 0.322)
Ho (0.678, 0.678, 0.678)



[8]
VASP calculation (GGA-PBE) on a geometry-optimized Pm4Dy9Ho11 structure.

Output
Formation energy from the elements: 0.053 eV per atom
E_tot: -109.5 eV for the cell shown

Cell lengths 14.702, 14.702, 3.527 Å; angles 90.00, 90.00, 92.06 degrees
Element x y z (fractional)
Pm (0.048, 0.221, 0.000)
Pm (0.221, 0.048, 0.000)
Pm (0.779, 0.952, 0.000)
Pm (0.952, 0.779, 0.000)
Dy (0.000, 0.000, 0.000)
Dy (0.124, 0.629, 0.000)
Dy (0.294, 0.463, 0.000)
Dy (0.371, 0.876, 0.000)
Dy (0.463, 0.294, 0.000)
Dy (0.537, 0.706, 0.000)
Dy (0.629, 0.124, 0.000)
Dy (0.706, 0.537, 0.000)
Dy (0.876, 0.371, 0.000)
Ho (0.085, 0.422, 0.500)
Ho (0.159, 0.841, 0.500)
Ho (0.257, 0.257, 0.500)
Ho (0.332, 0.668, 0.500)
Ho (0.422, 0.085, 0.500)
Ho (0.500, 0.500, 0.500)
Ho (0.578, 0.915, 0.500)
Ho (0.668, 0.332, 0.500)
Ho (0.743, 0.743, 0.500)
Ho (0.841, 0.159, 0.500)
Ho (0.915, 0.578, 0.500)



[9]
VASP calculation (GGA-PBE) on a geometry-optimized Pm5DyHo3 structure.

Output
Formation energy from the elements: 0.311 eV per atom
E_tot: -78.6 eV for the cell shown

Cell lengths 9.691, 9.691, 9.691 Å; angles 123.09, 123.09, 84.72 degrees
Element x y z (fractional)
Pm (0.000, 0.000, 0.000)
Pm (0.070, 0.570, 0.905)
Pm (0.165, 0.070, 0.500)
Pm (0.335, 0.835, 0.905)
Pm (0.430, 0.335, 0.500)
Pm (0.500, 0.500, 0.000)
Pm (0.570, 0.665, 0.500)
Pm (0.665, 0.165, 0.095)
Pm (0.835, 0.930, 0.500)
Pm (0.930, 0.430, 0.095)
Dy (0.250, 0.750, 0.500)
Dy (0.750, 0.250, 0.500)
Ho (0.110, 0.390, 0.500)
Ho (0.250, 0.250, 0.000)
Ho (0.390, 0.890, 0.280)
Ho (0.610, 0.110, 0.720)
Ho (0.750, 0.750, 0.000)
Ho (0.890, 0.610, 0.500)



[10]
VASP calculation (GGA-PBE) on a geometry-optimized Pm3DyHo3 structure.

Output
Formation energy from the elements: 0.018 eV per atom
E_tot: -64.9 eV for the cell shown

Cell lengths 9.613, 9.613, 5.737 Å; angles 90.00, 90.00, 120.00 degrees
Element x y z (fractional)
Pm (0.049, 0.807, 0.250)
Pm (0.193, 0.242, 0.250)
Pm (0.242, 0.049, 0.750)
Pm (0.758, 0.951, 0.250)
Pm (0.807, 0.758, 0.750)
Pm (0.951, 0.193, 0.750)
Dy (0.333, 0.667, 0.250)
Dy (0.667, 0.333, 0.750)
Ho (0.095, 0.617, 0.750)
Ho (0.383, 0.478, 0.750)
Ho (0.478, 0.095, 0.250)
Ho (0.522, 0.905, 0.750)
Ho (0.617, 0.522, 0.250)
Ho (0.905, 0.383, 0.250)



[11]
VASP calculation (GGA-PBE) on a geometry-optimized Pm7Dy2Ho3 structure.

Output
Formation energy from the elements: 0.262 eV per atom
E_tot: -53.1 eV for the cell shown

Cell lengths 16.482, 16.482, 4.614 Å; angles 90.00, 90.00, 160.73 degrees
Element x y z (fractional)
Pm (0.000, 0.000, 0.000)
Pm (0.080, 0.920, 0.500)
Pm (0.264, 0.736, 0.000)
Pm (0.418, 0.582, 0.000)
Pm (0.582, 0.418, 0.000)
Pm (0.736, 0.264, 0.000)
Pm (0.920, 0.080, 0.500)
Dy (0.160, 0.840, 0.000)
Dy (0.840, 0.160, 0.000)
Ho (0.343, 0.657, 0.500)
Ho (0.500, 0.500, 0.500)
Ho (0.657, 0.343, 0.500)



[12]
VASP calculation (GGA-PBE) on a geometry-optimized Pm2Dy5Ho12 structure.

Output
Formation energy from the elements: 0.020 eV per atom
E_tot: -87.1 eV for the cell shown

Cell lengths 6.134, 9.374, 11.186 Å; angles 90.03, 100.59, 109.03 degrees
Element x y z (fractional)
Pm (0.210, 0.474, 0.420)
Pm (0.790, 0.526, 0.580)
Dy (0.000, 0.000, 0.000)
Dy (0.265, 0.844, 0.527)
Dy (0.474, 0.315, 0.947)
Dy (0.526, 0.685, 0.053)
Dy (0.735, 0.156, 0.473)
Ho (0.052, 0.368, 0.104)
Ho (0.106, 0.738, 0.210)
Ho (0.158, 0.105, 0.315)
Ho (0.314, 0.209, 0.633)
Ho (0.369, 0.579, 0.739)
Ho (0.420, 0.948, 0.843)
Ho (0.580, 0.052, 0.157)
Ho (0.631, 0.421, 0.261)
Ho (0.686, 0.791, 0.367)
Ho (0.842, 0.895, 0.685)
Ho (0.894, 0.262, 0.790)
Ho (0.948, 0.632, 0.896)



Number 12 is which compound?
Pm2Dy5Ho12